VASP calculation (PBE) on a geometry-optimized Sc3IO structure.

Geometry as POSCAR:
```
Sc3IO
1.0
-3.0065 -2.4052 2.3632
-2.2089 -0.9874 -3.8150
2.5477 -3.6944 -0.5189
I Sc O
1 3 1
direct
0.5000 0.5000 0.5000 I
0.0000 0.5000 0.0000 Sc
0.0000 0.0000 0.5000 Sc
0.5000 0.0000 0.0000 Sc
0.0000 0.0000 0.0000 O
```

Properties
Energy relative to the lowest polymorph listed for this composition (eV per atom): 0.000
Density (g/cm3): 5.00
Crystal system: cubic
Fermi-level density of states (states/eV/f.u.): 5.96
Uncorrected energy (eV per atom): -6.07
Formation energy without anion corrections (eV/atom): -0.966

***

VASP calculation (PBE) on a geometry-optimized LiGaAu4 structure.

Geometry as POSCAR:
```
LiGaAu4
1.0
-0.4428 3.2258 4.4853
-3.1676 -1.5954 4.2592
2.3509 -1.5525 4.7732
Au Ga Li
4 1 1
direct
0.6253 0.6253 0.1241 Au
0.6253 0.1241 0.6253 Au
0.6253 0.6253 0.6253 Au
0.1241 0.6253 0.6253 Au
0.2500 0.2500 0.2500 Ga
0.0000 0.0000 0.0000 Li
```

Properties
Energy relative to the lowest polymorph listed for this composition (eV per atom): 0.165
Density (g/cm3): 11.92
Crystal system: cubic
DFT formation energy (kJ/mol of formula units): -70
Fermi-level density of states (states/eV/f.u.): 3.96
Uncorrected energy (eV per atom): -3.13

***

VASP calculation (PBE) on a geometry-optimized Tb6Dy2Al structure.

Geometry as POSCAR:
```
Tb6Dy2Al
1.0
5.3553 0.0000 0.2462
0.0000 9.9650 -0.0001
-0.4723 -0.0001 10.1950
Tb Dy Al
12 4 2
direct
0.0000 0.0281 0.1869 Tb
0.9997 0.6859 0.5571 Tb
0.9998 0.6296 0.8869 Tb
0.5002 0.1296 0.6131 Tb
0.5003 0.1859 0.9429 Tb
0.5000 0.5281 0.3131 Tb
0.0000 0.9719 0.8131 Tb
0.0003 0.3141 0.4429 Tb
0.0002 0.3704 0.1131 Tb
0.4998 0.8704 0.3869 Tb
0.4997 0.8141 0.0571 Tb
0.5000 0.4719 0.6869 Tb
0.0003 0.2967 0.7693 Dy
0.4997 0.7967 0.7307 Dy
0.5003 0.2033 0.2693 Dy
0.9997 0.7033 0.2307 Dy
0.5000 0.5000 0.0000 Al
0.0000 0.0000 0.5000 Al
```

Properties
Density (g/cm3): 7.95
Crystal system: orthorhombic
DFT formation energy (kJ/mol of formula units): -9
Fermi-level density of states (states/eV/f.u.): 12.45
Uncorrected energy (eV per atom): -4.54

***

VASP calculation (PBE) on a geometry-optimized Cs2AgCCl6 structure.

Geometry as POSCAR:
```
Cs2AgCCl6
1.0
-4.8862 0.8122 -5.0685
3.3608 -4.7831 -4.0063
-3.5209 -5.6577 -2.4669
Cs C Ag Cl
2 1 1 6
direct
0.7500 0.2500 0.5000 Cs
0.2500 0.7500 0.5000 Cs
0.5000 0.5000 0.0000 C
0.0000 0.0000 0.0000 Ag
0.2706 0.2706 0.4589 Cl
0.7294 0.7294 0.5411 Cl
0.2682 0.2682 0.0000 Cl
0.7318 0.7318 0.0000 Cl
0.7318 0.2682 0.0000 Cl
0.2682 0.7318 0.0000 Cl
```

Properties
Density (g/cm3): 3.93
Crystal system: tetragonal
Fermi-level density of states (states/eV/f.u.): 2.24
Uncorrected energy (eV per atom): -2.99
Formation energy without anion corrections (eV/atom): -0.500